Record 1
InBr (PBE, optimized geometry); total moment = 0.000 Bohr magnetons per cell
1.0
4.597 0.000 0.000
-2.299 3.981 0.000
0.000 0.000 8.126
In Br
2 2
direct
0.000 0.000 0.000
0.000 0.000 0.500
0.333 0.667 0.250
0.667 0.333 0.750

Record 2
In3Br (PBE, optimized geometry); energy relative to the lowest polymorph listed for this composition = 37 meV/atom; total moment = 0.000 Bohr magnetons per cell
1.0
3.664 0.000 0.000
-1.832 3.173 0.000
0.000 0.000 9.924
In Br
3 1
direct
0.000 0.000 0.000
0.667 0.333 0.261
0.667 0.333 0.739
0.000 0.000 0.500

Record 3
In2Br (PBE, optimized geometry); energy relative to the lowest polymorph listed for this composition = 94 meV/atom; total moment = 0.000 Bohr magnetons per cell
1.0
-2.174 2.174 10.591
2.174 -2.174 10.591
2.174 2.174 -10.591
In Br
4 2
direct
0.306 0.556 0.750
0.444 0.694 0.750
0.556 0.306 0.250
0.694 0.444 0.250
0.125 0.875 0.250
0.875 0.125 0.750

Record 4
InBr5 (PBE, optimized geometry); energy relative to the lowest polymorph listed for this composition = 498 meV/atom; total moment = 0.156 Bohr magnetons per cell
1.0
0.000 4.475 4.475
4.475 0.000 4.475
4.475 4.475 0.000
In Br
1 5
direct
0.000 0.000 0.000
0.376 0.376 0.376
0.376 0.376 0.873
0.376 0.873 0.376
0.750 0.750 0.750
0.873 0.376 0.376

Record 5
InBr (PBE, optimized geometry); total moment = 0.000 Bohr magnetons per cell
1.0
4.552 0.000 0.000
-2.263 6.056 0.000
-2.266 -0.982 10.360
In Br
4 4
direct
0.000 0.000 0.000
0.085 0.389 0.769
0.196 0.905 0.477
0.336 0.436 0.232
0.348 0.894 0.797
0.491 0.415 0.556
0.639 0.998 0.273
0.772 0.516 0.024

Record 6
In2Br (PBE, optimized geometry); energy relative to the lowest polymorph listed for this composition = 35 meV/atom; total moment = 0.000 Bohr magnetons per cell
1.0
1.848 -8.216 0.000
1.848 8.216 0.000
0.000 0.000 6.030
In Br
4 2
direct
0.024 0.976 0.750
0.353 0.647 0.750
0.647 0.353 0.250
0.976 0.024 0.250
0.302 0.698 0.250
0.698 0.302 0.750

For each record above, in turn, the calculated VASP energy values are -5.68 -10.55 -7.80 -9.51 -5.67 -7.98 eV/f.u..